No. 1
# BaAcSn4, optimized geometry, DFT GGA-PBE
data_BaAcSn4
_symmetry_space_group_name_H-M 'F -4 3 m'
_symmetry_Int_Tables_number 216
_symmetry_space_group_name_Hall 'F -4 2 3'
_cell_length_a 9.148
_cell_length_b 9.148
_cell_length_c 9.148
_cell_angle_alpha 90.00
_cell_angle_beta 90.00
_cell_angle_gamma 90.00
loop_
_atom_site_label
_atom_site_type_symbol
_atom_site_fract_x
_atom_site_fract_y
_atom_site_fract_z
Ba1 Ba 0.000 0.000 0.000
Ac1 Ac 0.250 0.250 0.750
Sn1 Sn 0.124 0.124 0.376
# * raw total energy: -24.9 eV per formula unit
# * formation enthalpy at 0 K: -476 meV per atom

=====

No. 2
# Tl2CoP, optimized geometry, DFT GGA-PBE
data_Tl2CoP
_symmetry_space_group_name_H-M 'I 4/m m m'
_symmetry_Int_Tables_number 139
_symmetry_space_group_name_Hall '-I 4 2'
_cell_length_a 4.471
_cell_length_b 4.471
_cell_length_c 8.243
_cell_angle_alpha 90.00
_cell_angle_beta 90.00
_cell_angle_gamma 90.00
loop_
_atom_site_label
_atom_site_type_symbol
_atom_site_fract_x
_atom_site_fract_y
_atom_site_fract_z
Tl1 Tl 0.000 0.500 0.250
Co1 Co 0.000 0.000 0.000
P1 P 0.000 0.000 0.500
# * raw total energy: -14.2 eV per formula unit
# * formation enthalpy at 0 K: 763 meV per atom

=====

No. 3
# Ba2FeW, optimized geometry, DFT GGA-PBE
data_Ba2FeW
_symmetry_space_group_name_H-M 'I m m m'
_symmetry_Int_Tables_number 71
_symmetry_space_group_name_Hall '-I 2 2'
_cell_length_a 3.369
_cell_length_b 3.648
_cell_length_c 19.390
_cell_angle_alpha 90.00
_cell_angle_beta 90.00
_cell_angle_gamma 90.00
loop_
_atom_site_label
_atom_site_type_symbol
_atom_site_fract_x
_atom_site_fract_y
_atom_site_fract_z
Ba1 Ba 0.000 0.000 0.145
Fe1 Fe 0.000 0.500 0.500
W1 W 0.000 0.500 0.000
# * raw total energy: -22.1 eV per formula unit
# * formation enthalpy at 0 K: 790 meV per atom

=====

No. 4
# Pm4Nd15Sm, optimized geometry, DFT GGA-PBE
data_Pm4Nd15Sm
_symmetry_space_group_name_H-M 'P 4/m m m'
_symmetry_Int_Tables_number 123
_symmetry_space_group_name_Hall '-P 4 2'
_cell_length_a 5.198
_cell_length_b 5.198
_cell_length_c 25.936
_cell_angle_alpha 90.00
_cell_angle_beta 90.00
_cell_angle_gamma 90.00
loop_
_atom_site_label
_atom_site_type_symbol
_atom_site_fract_x
_atom_site_fract_y
_atom_site_fract_z
Pm1 Pm 0.000 0.000 0.100
Pm2 Pm 0.000 0.000 0.300
Nd1 Nd 0.000 0.500 0.000
Nd2 Nd 0.000 0.500 0.200
Nd3 Nd 0.000 0.500 0.400
Nd4 Nd 0.500 0.500 0.100
Nd5 Nd 0.500 0.500 0.300
Nd6 Nd 0.500 0.500 0.500
Sm1 Sm 0.000 0.000 0.500
# * raw total energy: -95.0 eV per formula unit
# * formation enthalpy at 0 K: 14 meV per atom

=====

No. 5
# ZrPbW2, optimized geometry, DFT GGA-PBE
data_ZrPbW2
_symmetry_space_group_name_H-M 'P 4 m m'
_symmetry_Int_Tables_number 99
_cell_length_a 3.223
_cell_length_b 3.223
_cell_length_c 7.940
_cell_angle_alpha 90.00
_cell_angle_beta 90.00
_cell_angle_gamma 90.00
loop_
_symmetry_equiv_pos_as_xyz
'x,y,z'
'-y,x,z'
'-x,-y,z'
'y,-x,z'
'-x,y,z'
'y,x,z'
'x,-y,z'
'-y,-x,z'
loop_
_atom_site_label
_atom_site_type_symbol
_atom_site_fract_x
_atom_site_fract_y
_atom_site_fract_z
Zr1 Zr 0.000 0.000 0.000
Pb1 Pb 0.500 0.500 0.322
W1 W 0.000 0.000 0.590
W2 W 0.500 0.500 0.765
# * raw total energy: -37.0 eV per formula unit
# * formation enthalpy at 0 K: 279 meV per atom

=====

No. 6
# NdDy3, optimized geometry, DFT GGA-PBE
data_NdDy3
_symmetry_space_group_name_H-M 'P m -3 m'
_symmetry_Int_Tables_number 221
_symmetry_space_group_name_Hall '-P 4 2 3'
_cell_length_a 5.056
_cell_length_b 5.056
_cell_length_c 5.056
_cell_angle_alpha 90.00
_cell_angle_beta 90.00
_cell_angle_gamma 90.00
loop_
_atom_site_label
_atom_site_type_symbol
_atom_site_fract_x
_atom_site_fract_y
_atom_site_fract_z
Nd1 Nd 0.000 0.000 0.000
Dy1 Dy 0.000 0.500 0.500
# * raw total energy: -18.5 eV per formula unit
# * formation enthalpy at 0 K: 20 meV per atom

=====

No. 7
# ZrAuN3, optimized geometry, DFT GGA-PBE
data_ZrAuN3
_symmetry_space_group_name_H-M 'P m -3 m'
_symmetry_Int_Tables_number 221
_symmetry_space_group_name_Hall '-P 4 2 3'
_cell_length_a 3.968
_cell_length_b 3.968
_cell_length_c 3.968
_cell_angle_alpha 90.00
_cell_angle_beta 90.00
_cell_angle_gamma 90.00
loop_
_atom_site_label
_atom_site_type_symbol
_atom_site_fract_x
_atom_site_fract_y
_atom_site_fract_z
Zr1 Zr 0.000 0.000 0.000
Au1 Au 0.500 0.500 0.500
N1 N 0.000 0.500 0.500
# * raw total energy: -30.1 eV per formula unit
# * formation energy from raw total energies: 1.342 eV/atom

=====

No. 8
# Ce2YPu3As6, optimized geometry, DFT GGA-PBE
data_Ce2YPu3As6
_symmetry_space_group_name_H-M 'C 1 2/m 1'
_symmetry_Int_Tables_number 12
_cell_length_a 15.953
_cell_length_b 3.850
_cell_length_c 10.237
_cell_angle_alpha 90.00
_cell_angle_beta 107.44
_cell_angle_gamma 90.00
loop_
_symmetry_equiv_pos_as_xyz
'x,y,z'
'-x,-y,-z'
'-x,y,-z'
'x,-y,z'
'x+1/2,y+1/2,z'
'-x+1/2,-y+1/2,-z'
'-x+1/2,y+1/2,-z'
'x+1/2,-y+1/2,z'
loop_
_atom_site_label
_atom_site_type_symbol
_atom_site_fract_x
_atom_site_fract_y
_atom_site_fract_z
Ce1 Ce 0.170 0.000 0.305
Y1 Y 0.000 0.000 0.500
Pu1 Pu 0.000 0.000 0.000
Pu2 Pu 0.148 0.000 0.849
As1 As 0.007 0.500 0.275
As2 As 0.158 0.500 0.068
As3 As 0.186 0.000 0.594
# * raw total energy: -101.1 eV per formula unit
# * formation enthalpy at 0 K: -991 meV per atom

=====

No. 9
# Ti2CrSnC, optimized geometry, DFT GGA-PBE
data_Ti2CrSnC
_symmetry_space_group_name_H-M 'P 4/m m m'
_symmetry_Int_Tables_number 123
_symmetry_space_group_name_Hall '-P 4 2'
_cell_length_a 4.296
_cell_length_b 4.296
_cell_length_c 3.866
_cell_angle_alpha 90.00
_cell_angle_beta 90.00
_cell_angle_gamma 90.00
loop_
_atom_site_label
_atom_site_type_symbol
_atom_site_fract_x
_atom_site_fract_y
_atom_site_fract_z
Ti1 Ti 0.000 0.500 0.000
Cr1 Cr 0.000 0.000 0.500
Sn1 Sn 0.500 0.500 0.500
C1 C 0.000 0.000 0.000
# * raw total energy: -40.5 eV per formula unit
# * formation enthalpy at 0 K: -363 meV per atom

=====

No. 10
# Rb3CrCl8, optimized geometry, DFT GGA-PBE
data_Rb3CrCl8
_symmetry_space_group_name_H-M 'I 4/m m m'
_symmetry_Int_Tables_number 139
_symmetry_space_group_name_Hall '-I 4 2'
_cell_length_a 7.331
_cell_length_b 7.331
_cell_length_c 14.240
_cell_angle_alpha 90.00
_cell_angle_beta 90.00
_cell_angle_gamma 90.00
loop_
_atom_site_label
_atom_site_type_symbol
_atom_site_fract_x
_atom_site_fract_y
_atom_site_fract_z
Rb1 Rb 0.000 0.000 0.000
Rb2 Rb 0.000 0.500 0.250
Cr1 Cr 0.000 0.000 0.500
Cl1 Cl 0.203 0.203 0.396
# * raw total energy: -40.1 eV per formula unit
# * formation energy from raw total energies: -1.065 eV/atom

=====

No. 11
# AcCeHfO6, optimized geometry, DFT GGA-PBE
data_AcCeHfO6
_symmetry_space_group_name_H-M 'P -3 1 c'
_symmetry_Int_Tables_number 163
_symmetry_space_group_name_Hall '-P 3 2c'
_cell_length_a 5.8009
_cell_length_b 5.8009
_cell_length_c 10.2843
_cell_angle_alpha 90.00
_cell_angle_beta 90.00
_cell_angle_gamma 120.00
loop_
_atom_site_label
_atom_site_type_symbol
_atom_site_fract_x
_atom_site_fract_y
_atom_site_fract_z
Ac1 Ac 0.0000 0.0000 0.0000
Ce1 Ce 0.3333 0.6667 0.2500
Hf1 Hf 0.3333 0.6667 0.7500
O1 O 0.0197 0.3698 0.6414
# * raw total energy: -77.9 eV per formula unit
# * formation energy from raw total energies: -3.124 eV/atom

=====

No. 12
# Al2Rh, optimized geometry, DFT GGA-PBE
data_Al2Rh
_symmetry_space_group_name_H-M 'P 1'
_symmetry_Int_Tables_number 1
_cell_length_a 4.683
_cell_length_b 4.849
_cell_length_c 6.318
_cell_angle_alpha 72.71
_cell_angle_beta 84.37
_cell_angle_gamma 84.17
loop_
_symmetry_equiv_pos_as_xyz
'x,y,z'
loop_
_atom_site_label
_atom_site_type_symbol
_atom_site_fract_x
_atom_site_fract_y
_atom_site_fract_z
Al1 Al 0.000 0.000 0.000
Al2 Al 0.088 0.546 0.748
Al3 Al 0.294 0.673 0.340
Al4 Al 0.458 0.217 0.163
Al5 Al 0.557 0.774 0.867
Al6 Al 0.702 0.290 0.558
Rh1 Rh 0.218 0.096 0.592
Rh2 Rh 0.760 0.825 0.432
Rh3 Rh 0.941 0.451 0.145
# * raw total energy: -16.8 eV per formula unit
# * formation enthalpy at 0 K: -657 meV per atom

=====

> Which of these has the lowest raw total energy?

Ce2YPu3As6

=====

> Number 6 is which compound?

NdDy3